# 1
Below is a relaxed structure of CaAlH2, with properties calculated at the PBEsol level.

a b c (Å): 4.5026 4.5026 10.6996
angles (deg): 90.00 90.00 90.00
Space group I-42d (No. 122)
Symmetry-distinct sites (fractional):
Ca 0.0000 0.0000 0.0000
Al 0.0000 0.0000 0.5000
H 0.1871 0.2500 0.6250

Computed properties:
* V: 216.9 Å³/cell
* spin magnetization: 0.00 μB/f.u.
* polymorph energy (0 for the lowest one): 0.0 meV/atom

=====

# 2
Below is a relaxed structure of Rb2GeB, with properties calculated at the PBEsol level.

a b c (Å): 12.9227 12.9227 3.7547
angles (deg): 90.00 90.00 90.00
Space group I-42d (No. 122)
Symmetry-distinct sites (fractional):
Rb 0.0350 0.7500 0.1250
Ge 0.0000 0.0000 0.5000
B 0.0000 0.0000 0.0000

Computed properties:
* V: 627.0 Å³/cell
* spin magnetization: 0.00 μB/f.u.

=====

# 3
Below is a relaxed structure of LuAg4, with properties calculated at the PBEsol level.

a b c (Å): 6.5898 6.5898 4.1145
angles (deg): 90.00 90.00 90.00
Space group I4/m (No. 87)
Symmetry-distinct sites (fractional):
Lu 0.0000 0.0000 0.0000
Ag 0.0974 0.3032 0.5000

Computed properties:
* V: 178.7 Å³/cell
* spin magnetization: 0.00 μB/f.u.

=====

# 4
Below is a relaxed structure of Te2Pb3Br2O6, with properties calculated at the PBEsol level.

a b c (Å): 16.7589 5.6502 10.9210
angles (deg): 90.00 103.57 90.00
Space group C2/m (No. 12)
Symmetry-distinct sites (fractional):
Te 0.1021 0.0000 0.0502
Te 0.1296 0.5000 0.5925
Pb 0.0232 0.5000 0.2011
Pb 0.1635 0.0000 0.3955
Pb 0.2435 0.0000 0.7946
Br 0.0428 0.0000 0.6939
Br 0.1825 0.5000 0.9013
O 0.0000 0.2164 0.0000
O 0.1072 0.5000 0.4156
O 0.1318 0.2342 0.1851
O 0.2117 0.2601 0.6126

Computed properties:
* V: 1005.3 Å³/cell
* ΔE_f (raw): -1113 meV/atom
* spin magnetization: 0.00 μB/f.u.

=====

# 5
Below is a relaxed structure of Lu5Pt3, with properties calculated at the PBEsol level.

a b c (Å): 8.1877 8.1877 5.8756
angles (deg): 90.00 90.00 120.00
Space group P6_3/mcm (No. 193)
Symmetry-distinct sites (fractional):
Lu 0.0000 0.2455 0.2500
Lu 0.3333 0.6667 0.0000
Pt 0.0000 0.3959 0.7500

Computed properties:
* V: 341.1 Å³/cell
* spin magnetization: 0.00 μB/f.u.

=====

# 6
Below is a relaxed structure of EuAgSn, with properties calculated at the PBEsol level.

a b c (Å): 11.0521 4.7398 7.5612
angles (deg): 90.00 131.59 90.00
Space group C2/m (No. 12)
Symmetry-distinct sites (fractional):
Eu 0.0422 0.0000 0.3002
Ag 0.1618 0.5000 0.7105
Sn 0.1661 0.5000 0.1101

Computed properties:
* V: 296.2 Å³/cell
* spin magnetization: 6.91 μB/f.u.

=====

Respective E_tot values: -0.119 -0.114 -0.143 -0.194 -0.247 -0.241 Ha/atom.